# LiCePb2S4, optimized geometry, DFT PBE
data_LiCePb2S4
_space_group_name_H-M_alt 'P 1 2/m 1'
_space_group_IT_number 10
_cell_length_a 6.982
_cell_length_b 4.151
_cell_length_c 7.238
_cell_angle_alpha 90.00
_cell_angle_beta 108.68
_cell_angle_gamma 90.00
loop_
_space_group_symop_operation_xyz
'x,y,z'
'-x,-y,-z'
'-x,y,-z'
'x,-y,z'
loop_
_atom_site_label
_atom_site_type_symbol
_atom_site_fract_x
_atom_site_fract_y
_atom_site_fract_z
Li1 Li 0.000 0.000 0.000
Ce1 Ce 0.500 0.500 0.000
Pb1 Pb 0.000 0.500 0.500
Pb2 Pb 0.500 0.000 0.500
S1 S 0.246 0.500 0.232
S2 S 0.253 0.000 0.772
# Formation energy from raw total energies = -1.0948 eV per atom
# DFT total energy = -5.067 eV per atom
# DOS(E_F) = 0.826 states/eV per atom

# Li2CePbS4, optimized geometry, DFT PBE
data_Li2CePbS4
_space_group_name_H-M_alt 'P 1 2/m 1'
_space_group_IT_number 10
_cell_length_a 6.589
_cell_length_b 4.037
_cell_length_c 7.130
_cell_angle_alpha 90.00
_cell_angle_beta 110.96
_cell_angle_gamma 90.00
loop_
_space_group_symop_operation_xyz
'x,y,z'
'-x,-y,-z'
'-x,y,-z'
'x,-y,z'
loop_
_atom_site_label
_atom_site_type_symbol
_atom_site_fract_x
_atom_site_fract_y
_atom_site_fract_z
Li1 Li 0.000 0.000 0.000
Li2 Li 0.000 0.500 0.500
Ce1 Ce 0.500 0.000 0.500
Pb1 Pb 0.500 0.500 0.000
S1 S 0.243 0.000 0.720
S2 S 0.244 0.500 0.261
# Formation energy from raw total energies = -1.2688 eV per atom
# DFT total energy = -5.016 eV per atom
# DOS(E_F) = 0.043 states/eV per atom